Entry 1:
Computed, not measured: LiAgP2 after structural relaxation at the GGA-PBE level of DFT.

a b c (Å): 3.509 3.509 5.160
angles (deg): 90.00 90.00 90.00
Fractional positions:
Ag1 0.000 0.000 0.539
Li1 0.500 0.500 0.731
P1 0.000 0.000 0.040
P2 0.500 0.500 0.191

Summary:
ΔH_f (0 K) = 0.25 eV/f.u.
Energy above the most stable polymorph in this dataset = 202.2 meV/atom
Symmetry = No. 99

=====

Entry 2:
Computed, not measured: Er2Tm2Ag after structural relaxation at the GGA-PBE level of DFT.

a b c (Å): 3.496 3.496 11.577
angles (deg): 98.68 98.68 90.00
Fractional positions:
Er1 0.804 0.804 0.609
Er2 0.196 0.196 0.391
Tm1 0.584 0.584 0.167
Tm2 0.416 0.416 0.833
Ag1 0.000 0.000 0.000

Summary:
ΔH_f (0 K) = -0.52 eV/f.u.
Symmetry = No. 139

=====

Entry 3:
Computed, not measured: CaYCu2 after structural relaxation at the GGA-PBE level of DFT.

a b c (Å): 4.074 4.074 7.321
angles (deg): 74.05 74.05 59.52
Fractional positions:
Y1 0.750 0.750 0.750
Ca1 0.250 0.250 0.250
Cu1 0.005 0.005 0.985
Cu2 0.495 0.495 0.515

Summary:
ΔH_f (0 K) = 0.08 eV/f.u.
Symmetry = No. 12

=====

Entry 4:
Computed, not measured: UPaSi2Tc2 after structural relaxation at the GGA-PBE level of DFT.

a b c (Å): 4.651 4.651 6.507
angles (deg): 110.94 110.94 90.00
Each line ends with the local moment (μB).
Fractional positions:
U1 0.000 0.000 0.000  2.57
Pa1 0.500 0.500 0.000  1.14
Si1 0.245 0.245 0.490  0.03
Si2 0.755 0.755 0.510  0.03
Tc1 0.250 0.750 0.500  -0.03
Tc2 0.750 0.250 0.500  -0.03

Summary:
Energy relative to the elements, uncorrected = 430 meV per atom
Symmetry = No. 139

=====

Entry 5:
Computed, not measured: Al7Ag after structural relaxation at the GGA-PBE level of DFT.

a b c (Å): 2.879 11.443 4.059
angles (deg): 90.00 90.00 90.00
Fractional positions:
Ag1 0.000 0.000 0.000
Al1 0.500 0.129 0.500
Al2 0.000 0.253 0.000
Al3 0.500 0.374 0.500
Al4 0.000 0.500 0.000
Al5 0.500 0.626 0.500
Al6 0.000 0.747 0.000
Al7 0.500 0.871 0.500

Summary:
ΔH_f (0 K) = 0.10 eV/f.u.
Energy above the most stable polymorph in this dataset = 23.5 meV/atom
Symmetry = No. 47

=====

Entry 6:
Computed, not measured: USnSe after structural relaxation at the GGA-PBE level of DFT.

a b c (Å): 4.112 4.112 9.095
angles (deg): 103.06 103.06 90.00
Each line ends with the local moment (μB).
Fractional positions:
U1 0.350 0.350 0.700  2.23
U2 0.650 0.650 0.300  2.23
Sn1 0.000 0.500 0.000  -0.08
Sn2 0.500 0.000 0.000  -0.08
Se1 0.181 0.181 0.363  -0.07
Se2 0.819 0.819 0.637  -0.07

Summary:
Energy relative to the elements, uncorrected = -698 meV per atom
Symmetry = No. 139

=====

| no. | calculated total energy (eV/f.u.) |
| --- | --- |
| 1 | -15.3 |
| 2 | -21.4 |
| 3 | -16.6 |
| 4 | -49.8 |
| 5 | -29.0 |
| 6 | -20.9 |